# 1
This record from the Alexandria database describes crystalline InPSeO2 at its relaxed geometry. The functional is PBE.

abc: 3.9025 3.9025 4.9902
angles: 90.00 90.00 90.00
Closest atoms and distances in Å follow each position.
Positions (direct):
O  0.0000  0.5000  0.0000  2 Se 1.95
O  0.5000  0.0000  0.0000  2 Se 1.95
P  0.0000  0.0000  0.5000  2 Se 2.50, 4 In 2.76
In  0.5000  0.5000  0.5000  4 P 2.76
Se  0.0000  0.0000  0.0000  4 O 1.95

Results
VASP energy, eV per atom: -4.42
D(E_F), states/eV/cell: 1.847
Space group: No. 123
Raw formation energy, eV/atom: -0.108
Relative energy among the computed polymorphs, eV/f.u.: 0.00

# 2
This record from the Alexandria database describes crystalline InSiP2O8 at its relaxed geometry. The functional is PBE.

abc: 4.6770 4.6770 7.2043
angles: 90.06 90.06 65.32
Closest atoms and distances in Å follow each position.
Positions (direct):
O  0.2873  0.2873  0.5944  1 P 1.53
O  0.7127  0.7127  0.4056  1 P 1.53
O  0.7866  0.2829  0.1784  1 P 1.57
O  0.2146  0.2146  0.9462  1 P 1.53
O  0.7854  0.7854  0.0538  1 P 1.53
O  0.2829  0.7866  0.1784  1 P 1.57
O  0.7171  0.2134  0.8216  1 P 1.57
O  0.2134  0.7171  0.8216  1 P 1.57
P  0.3506  0.3506  0.7948  4 O 1.53-1.57
P  0.6494  0.6494  0.2052  4 O 1.53-1.57
Si  0.0000  0.0000  0.0000  6 O 1.73-1.82
In  0.0000  0.0000  0.5000  2 O 2.36

Results
VASP energy, eV per atom: -6.95
D(E_F), states/eV/cell: 2.959
Space group: No. 12
Raw formation energy, eV/atom: -2.067

# 3
This record from the Alexandria database describes crystalline InSnPO2 at its relaxed geometry. The functional is PBE.

abc: 4.1113 4.1113 5.3953
angles: 90.00 90.00 90.00
Closest atoms and distances in Å follow each position.
Positions (direct):
P  0.0000  0.0000  0.5000  2 In 2.70, 4 Sn 2.91
O  0.5000  0.0000  0.0000  2 In 2.06
O  0.0000  0.5000  0.0000  2 In 2.06
In  0.0000  0.0000  0.0000  4 O 2.06
Sn  0.5000  0.5000  0.5000  4 P 2.91

Results
VASP energy, eV per atom: -4.60
D(E_F), states/eV/cell: 3.470
Space group: No. 123
Raw formation energy, eV/atom: -0.182
Relative energy among the computed polymorphs, eV/f.u.: 1.59

# 4
This record from the Alexandria database describes crystalline InSnPO2 at its relaxed geometry. The functional is PBE.

abc: 3.9965 3.9965 5.4836
angles: 90.00 90.00 90.00
Closest atoms and distances in Å follow each position.
Positions (direct):
O  0.5000  0.0000  0.0000  2 Sn 2.00
O  0.0000  0.5000  0.0000  2 Sn 2.00
In  0.5000  0.5000  0.5000  4 P 2.83
P  0.0000  0.0000  0.5000  2 Sn 2.74, 4 In 2.83
Sn  0.0000  0.0000  0.0000  4 O 2.00

Results
VASP energy, eV per atom: -4.91
D(E_F), states/eV/cell: 2.461
Space group: No. 123
Raw formation energy, eV/atom: -0.500
Relative energy among the computed polymorphs, eV/f.u.: 0.00

# 5
This record from the Alexandria database describes crystalline InSn2PO at its relaxed geometry. The functional is PBE.

abc: 5.5428 3.4880 5.5428
angles: 90.00 90.00 90.00
Closest atoms and distances in Å follow each position.
Positions (direct):
In  0.5000  0.5000  0.5000  8 Sn 3.27, 2 In 3.49
Sn  0.5000  0.0000  0.0000  2 P 2.77
Sn  0.0000  0.0000  0.5000  2 P 2.77
P  0.0000  0.0000  0.0000  2 O 1.74
O  0.0000  0.5000  0.0000  2 P 1.74

Results
VASP energy, eV per atom: -4.39
D(E_F), states/eV/cell: 2.566
Space group: No. 123
Raw formation energy, eV/atom: -0.170

# 6
This record from the Alexandria database describes crystalline Sr9InP7O28 at its relaxed geometry. The functional is PBE.

abc: 9.1250 9.1250 18.2624
angles: 72.08 72.08 72.73
Closest atoms and distances in Å follow each position.
Positions (direct):
O  0.7684  0.0287  0.7482  1 P 1.55
O  0.0207  0.0164  0.3762  1 P 1.60
O  0.2303  0.5052  0.9869  1 P 1.55
O  0.9786  0.9884  0.6249  1 P 1.60
O  0.9839  0.2511  0.4915  1 P 1.60
O  0.5375  0.3959  0.8094  1 P 1.55
O  0.0133  0.5041  0.8945  1 P 1.55
O  0.2286  0.9747  0.2520  1 P 1.55
O  0.2010  0.2158  0.8078  1 P 1.54
O  0.9913  0.2161  0.2494  1 P 1.55
O  0.2135  0.4978  0.4971  1 P 1.54
O  0.4978  0.2135  0.9971  1 P 1.54
O  0.9853  0.2472  0.9928  1 P 1.60
O  0.0080  0.7903  0.7525  1 P 1.54
O  0.7882  0.7992  0.6929  1 P 1.54
O  0.2472  0.9853  0.4928  1 P 1.60
O  0.0195  0.7507  0.0079  1 P 1.60
O  0.4831  0.6970  0.7349  1 P 1.56
O  0.0245  0.4974  0.3856  1 P 1.55
O  0.6161  0.2000  0.1075  1 P 1.55
O  0.7932  0.3815  0.9002  1 P 1.53
O  0.9885  0.4956  0.1075  1 P 1.54
O  0.3815  0.7932  0.4002  1 P 1.53
O  0.7992  0.7882  0.1929  1 P 1.54
O  0.9884  0.9786  0.1249  1 P 1.60
O  0.5068  0.9691  0.1169  1 P 1.55
O  0.7507  0.0195  0.5079  1 P 1.60
O  0.5351  0.2902  0.2634  1 P 1.56
O  0.2094  0.6160  0.1012  1 P 1.54
O  0.9747  0.2286  0.7520  1 P 1.55
O  0.0164  0.0207  0.8762  1 P 1.60
O  0.5033  0.7821  0.0055  1 P 1.55
O  0.7527  0.0139  0.0119  1 P 1.59
O  0.2511  0.9839  0.9915  1 P 1.60
O  0.6160  0.2094  0.6012  1 P 1.54
O  0.7903  0.0080  0.2525  1 P 1.54
O  0.0139  0.7527  0.5119  1 P 1.59
O  0.5052  0.2303  0.4869  1 P 1.55
O  0.2158  0.2010  0.3078  1 P 1.54
O  0.2161  0.9913  0.7494  1 P 1.55
O  0.5628  0.4892  0.6600  1 P 1.56
O  0.7821  0.5033  0.5055  1 P 1.55
O  0.2000  0.6161  0.6075  1 P 1.55
O  0.4956  0.9885  0.6075  1 P 1.54
O  0.6970  0.4831  0.2349  1 P 1.56
O  0.4892  0.5628  0.1600  1 P 1.56
O  0.4894  0.7759  0.5160  1 P 1.55
O  0.3959  0.5375  0.3094  1 P 1.55
O  0.4974  0.0245  0.8856  1 P 1.55
O  0.3796  0.8001  0.8949  1 P 1.54
O  0.5041  0.0133  0.3945  1 P 1.55
O  0.8001  0.3796  0.3949  1 P 1.54
O  0.2902  0.5351  0.7634  1 P 1.56
O  0.0287  0.7684  0.2482  1 P 1.55
O  0.9691  0.5068  0.6169  1 P 1.55
O  0.7759  0.4894  0.0160  1 P 1.55
P  0.4125  0.8938  0.9431  4 O 1.54-1.60
P  0.1053  0.1175  0.7940  4 O 1.54-1.60
P  0.4100  0.8879  0.4487  4 O 1.53-1.60
P  0.8879  0.4100  0.9487  4 O 1.53-1.60
P  0.5251  0.4717  0.2425  4 O 1.55-1.56
P  0.5891  0.1014  0.0591  4 O 1.54-1.59
P  0.4717  0.5251  0.7425  4 O 1.55-1.56
P  0.1145  0.5874  0.0523  4 O 1.54-1.60
P  0.8985  0.8827  0.2070  4 O 1.54-1.60
P  0.5874  0.1145  0.5523  4 O 1.54-1.60
P  0.8938  0.4125  0.4431  4 O 1.54-1.60
P  0.1175  0.1053  0.2940  4 O 1.54-1.60
P  0.1014  0.5891  0.5591  4 O 1.54-1.59
P  0.8827  0.8985  0.7070  4 O 1.54-1.60
Sr  0.7249  0.7135  0.0851  9 O 2.58-2.88
Sr  0.2680  0.8483  0.6405  8 O 2.56-2.78
Sr  0.0313  0.4994  0.7517  7 O 2.56-2.68
Sr  0.1581  0.7296  0.8610  8 O 2.58-2.69
Sr  0.8483  0.2680  0.1405  8 O 2.56-2.78
Sr  0.2824  0.8323  0.1372  8 O 2.57-2.68
Sr  0.2845  0.2847  0.9132  8 O 2.57-2.74
Sr  0.4994  0.0313  0.2517  7 O 2.56-2.68
Sr  0.9553  0.5057  0.2534  7 O 2.56-2.65
Sr  0.4896  0.4922  0.5254  7 O 2.54-2.73
Sr  0.4922  0.4896  0.0254  7 O 2.54-2.73
Sr  0.5057  0.9553  0.7534  7 O 2.56-2.65
Sr  0.7135  0.7249  0.5851  9 O 2.58-2.88
Sr  0.8323  0.2824  0.6372  8 O 2.57-2.68
Sr  0.7225  0.1612  0.8660  8 O 2.46-2.70
Sr  0.2847  0.2845  0.4132  8 O 2.57-2.74
Sr  0.7296  0.1581  0.3610  8 O 2.58-2.69
Sr  0.1612  0.7225  0.3660  8 O 2.46-2.70
In  0.9997  0.0033  0.5003  6 O 2.18-2.20
In  0.0033  0.9997  0.0003  6 O 2.18-2.20

Results
VASP energy, eV per atom: -7.13
D(E_F), states/eV/cell: 0.000
Space group: No. 9
Raw formation energy, eV/atom: -2.810

# 7
This record from the Alexandria database describes crystalline TaInP2O8 at its relaxed geometry. The functional is PBE.

abc: 5.1338 5.1338 8.6034
angles: 89.70 89.70 61.90
Closest atoms and distances in Å follow each position.
Positions (direct):
O  0.2045  0.2045  0.9109  1 P 1.57
O  0.7950  0.3218  0.1535  1 P 1.57
O  0.6782  0.2050  0.8465  1 P 1.57
O  0.6949  0.6949  0.3700  1 P 1.49
O  0.2050  0.6782  0.8465  1 P 1.57
O  0.3051  0.3051  0.6300  1 P 1.49
O  0.3218  0.7950  0.1535  1 P 1.57
O  0.7955  0.7955  0.0891  1 P 1.57
P  0.3454  0.3454  0.7983  4 O 1.49-1.57
P  0.6546  0.6546  0.2017  4 O 1.49-1.57
Ta  0.0000  0.0000  0.0000  6 O 1.95-1.99
In  0.0000  0.0000  0.5000  2 O 2.92

Results
VASP energy, eV per atom: -7.68
D(E_F), states/eV/cell: 0.000
Space group: No. 12
Raw formation energy, eV/atom: -2.259

# 8
This record from the Alexandria database describes crystalline TaInPO2 at its relaxed geometry. The functional is PBE.

abc: 3.9512 3.9512 5.2560
angles: 90.00 90.00 90.00
Closest atoms and distances in Å follow each position.
Positions (direct):
In  0.5000  0.5000  0.5000  4 P 2.79
O  0.0000  0.5000  0.0000  2 Ta 1.98
O  0.5000  0.0000  0.0000  2 Ta 1.98
Ta  0.0000  0.0000  0.0000  4 O 1.98
P  0.0000  0.0000  0.5000  2 Ta 2.63, 4 In 2.79

Results
VASP energy, eV per atom: -7.50
D(E_F), states/eV/cell: 0.644
Space group: No. 123
Raw formation energy, eV/atom: -1.513
Relative energy among the computed polymorphs, eV/f.u.: 0.00

# 9
This record from the Alexandria database describes crystalline TaInPO2 at its relaxed geometry. The functional is PBE.

abc: 3.9572 3.9572 5.2760
angles: 90.00 90.00 90.00
Closest atoms and distances in Å follow each position.
Positions (direct):
O  0.0000  0.5000  0.0000  2 In 1.98
O  0.5000  0.0000  0.0000  2 In 1.98
In  0.0000  0.0000  0.0000  4 O 1.98
P  0.0000  0.0000  0.5000  2 In 2.64, 4 Ta 2.80
Ta  0.5000  0.5000  0.5000  4 P 2.80

Results
VASP energy, eV per atom: -5.80
D(E_F), states/eV/cell: 3.832
Space group: No. 123
Raw formation energy, eV/atom: 0.186
Relative energy among the computed polymorphs, eV/f.u.: 8.50

# 10
This record from the Alexandria database describes crystalline InTcP2O at its relaxed geometry. The functional is PBE.

abc: 5.0004 5.0004 3.7431
angles: 90.00 90.00 90.00
Closest atoms and distances in Å follow each position.
Positions (direct):
P  0.5000  0.0000  0.0000  2 Tc 2.50
P  0.0000  0.5000  0.0000  2 Tc 2.50
In  0.5000  0.5000  0.5000  8 P 3.12
Tc  0.0000  0.0000  0.0000  2 O 1.87
O  0.0000  0.0000  0.5000  2 Tc 1.87

Results
VASP energy, eV per atom: -5.92
D(E_F), states/eV/cell: 3.230
Space group: No. 123
Raw formation energy, eV/atom: -0.140
Relative energy among the computed polymorphs, eV/f.u.: 0.00